First-principles (GGA-PBE) data for a relaxed structure of Sm3PaRu4, as listed in Alexandria via LeMat-Bulk.

a b c (Å): 7.771 7.771 4.889
angles (deg): 108.25 108.25 36.67
Positions (direct):
1 Sm 0.000 0.000 0.000
2 Sm 0.249 0.249 0.249
3 Sm 0.751 0.751 0.751
4 Pa 0.500 0.500 0.500
5 Ru 0.114 0.114 0.614
6 Ru 0.386 0.386 0.886
7 Ru 0.614 0.614 0.114
8 Ru 0.886 0.886 0.386

Output
E above lowest polymorph	0	meV per atom
calculated formation energy	-2.511	eV per formula unit
total magnetic moment	0.0	μB/f.u.
Fermi-level density of states	4.5	states/eV/cell